[1]
Entry from Alexandria: Dy2ScGe4Pt3 after structural relaxation (PBE).

```
10
Lattice="4.144 0.000 0.000 0.000 4.144 0.000 0.000 0.000 11.330" Properties=species:S:1:pos:R:3 pbc="T T T"
Dy 0.000 2.072 2.784
Dy 2.072 0.000 8.547
Sc 0.000 0.000 5.665
Ge 0.000 0.000 0.000
Ge 0.000 2.072 7.381
Ge 2.072 0.000 3.949
Ge 2.072 2.072 0.000
Pt 0.000 2.072 9.846
Pt 2.072 0.000 1.484
Pt 2.072 2.072 5.665
```

## Properties
total moment: 0.000 μB/atom
mass density: 10634 kg/m3
formation energy from the elements: -0.91 eV/atom
DFT total energy: -6.12 eV per atom
calculated volume: 194.5 Å³/f.u.

[2]
Entry from Alexandria: Dy4GePtSe2 after structural relaxation (PBE).

```
8
Lattice="7.024 0.000 0.000 0.000 4.087 0.000 -2.386 0.000 6.918" Properties=species:S:1:pos:R:3 pbc="T T T"
Dy 1.132 0.000 1.625
Dy -0.032 2.043 5.261
Dy 4.670 2.043 1.657
Dy 3.506 0.000 5.293
Ge 3.512 0.000 0.000
Pt 0.000 2.043 0.000
Se -1.193 0.000 3.459
Se 2.319 2.043 3.459
```

## Properties
total moment: 0.000 μB/atom
mass density: 8994 kg/m3
DFT total energy: -5.90 eV per atom
formation energy without anion corrections: -1.399 eV per atom
calculated volume: 198.6 Å³/f.u.

Q: Which of these has the lowest DFT total energy?
A: Dy2ScGe4Pt3